DFT (meta-GGA SCAN) results for POs2Ru at its PBEsol-relaxed geometry.

Uncorrected energy, eV/f.u.: -186.64
Space-group type: P4/mmm
ρ, g cm⁻³: 15.9
Crystal system: tetragonal
Formation energy, eV/atom: 0.59

Cell: 3.8148 3.8148 3.6716 Å, 90.00 90.00 90.00°
Closest atoms and distances in Å follow each position.
Sites, in units of the cell vectors:
P 0.0000 0.0000 0.0000  8 Os 2.65, 4 Ru 2.70
Os 0.0000 0.5000 0.5000  4 Ru 2.65, 4 P 2.65, 4 Os 2.70
Os 0.5000 0.0000 0.5000  4 Ru 2.65, 4 P 2.65, 4 Os 2.70
Ru 0.5000 0.5000 0.0000  8 Os 2.65, 4 P 2.70